## BeCdBIrAu (GGA-PBE)

Data for BeCdBIrAu after structural relaxation.

Computed properties:
As for the energy of formation: 0 meV/atom. As for the size of the total moment: 0.00 μB per cell. The space-group type is Cm (8). Its total energy is -4.691 eV/atom. The calculation puts the excess energy over the best structure of this formula in the dataset at 0.126 eV per atom.

Cell lengths 3.431, 3.431, 7.644 Å; angles 102.59, 102.59, 59.96 degrees
Sites, in units of the cell vectors:
1 Be 0.000 0.000 0.000
2 Cd 0.569 0.569 0.728
3 B 0.692 0.692 0.080
4 Ir 0.389 0.389 0.172
5 Au 0.814 0.814 0.452

## InGaHg (GGA-PBE)

Data for InGaHg after structural relaxation.

Computed properties:
As for the energy of formation: 57 meV/atom. As for the size of the total moment: 0.00 μB per cell. The space-group type is P4/nmm (129). Its total energy is -1.965 eV/atom.

Cell lengths 3.772, 3.772, 10.079 Å; angles 90.00, 90.00, 90.00 degrees
Sites, in units of the cell vectors:
1 In 0.250 0.250 0.235
2 In 0.750 0.750 0.765
3 Ga 0.250 0.250 0.938
4 Ga 0.750 0.750 0.062
5 Hg 0.250 0.250 0.590
6 Hg 0.750 0.750 0.410

## K2SbW (GGA-PBE)

Data for K2SbW after structural relaxation.

Computed properties:
The energy relative to the elements, uncorrected comes out at 0.8468 eV per atom. As for the size of the total moment: 3.29 μB per cell. The space-group type is Imm2 (44). Its total energy is -3.971 eV/atom.

Cell lengths 6.610, 6.610, 6.610 Å; angles 138.15, 125.38, 71.10 degrees
Sites, in units of the cell vectors:
1 K 0.000 0.000 0.000
2 K 0.698 0.198 0.500
3 Sb 0.286 0.786 0.500
4 W 0.396 0.396 0.000

## Cu2TcPb (GGA-PBE)

Data for Cu2TcPb after structural relaxation.

Computed properties:
As for the energy of formation: 744 meV/atom. As for the size of the total moment: 2.74 μB per cell. The space-group type is I-42d (122). Its total energy is -4.823 eV/atom.

Cell lengths 9.857, 9.857, 9.857 Å; angles 157.20, 157.20, 32.47 degrees
Sites, in units of the cell vectors:
1 Cu 0.078 0.625 0.953
2 Cu 0.375 0.328 0.453
3 Cu 0.672 0.125 0.047
4 Cu 0.875 0.922 0.547
5 Tc 0.000 0.000 0.000
6 Tc 0.750 0.250 0.500
7 Pb 0.250 0.750 0.500
8 Pb 0.500 0.500 0.000

## Rb2NpAs2S6 (GGA-PBE)

Data for Rb2NpAs2S6 after structural relaxation.

Computed properties:
The energy relative to the elements, uncorrected comes out at -0.7426 eV per atom. As for the size of the total moment: 0.96 μB per cell. The space-group type is C2/m (12). Its total energy is -5.192 eV/atom.

Cell lengths 8.306, 8.306, 7.150 Å; angles 111.51, 111.51, 49.65 degrees
Sites, in units of the cell vectors:
1 Rb 0.246 0.246 0.223
2 Rb 0.754 0.754 0.777
3 Np 0.500 0.500 0.000
4 As 0.029 0.029 0.356
5 As 0.971 0.971 0.644
6 S 0.170 0.690 0.179
7 S 0.310 0.830 0.821
8 S 0.338 0.338 0.740
9 S 0.662 0.662 0.260
10 S 0.690 0.170 0.179
11 S 0.830 0.310 0.821

## AlCu2Ni4 (GGA-PBE)

Data for AlCu2Ni4 after structural relaxation.

Computed properties:
As for the energy of formation: -195 meV/atom. As for the size of the total moment: 0.00 μB per cell. The space-group type is P2_1/m (11). Its total energy is -5.204 eV/atom. The calculation puts the excess energy over the best structure of this formula in the dataset at 0.000 eV per atom.

Cell lengths 5.535, 3.621, 8.026 Å; angles 90.00, 96.46, 90.00 degrees
Sites, in units of the cell vectors:
1 Al 0.205 0.250 0.318
2 Al 0.795 0.750 0.682
3 Cu 0.067 0.750 0.103
4 Cu 0.356 0.750 0.539
5 Cu 0.644 0.250 0.461
6 Cu 0.933 0.250 0.897
7 Ni 0.075 0.250 0.610
8 Ni 0.223 0.750 0.822
9 Ni 0.362 0.250 0.035
10 Ni 0.495 0.750 0.247
11 Ni 0.505 0.250 0.753
12 Ni 0.638 0.750 0.965
13 Ni 0.777 0.250 0.178
14 Ni 0.925 0.750 0.390

## Ce2Er3Ru4 (GGA-PBE)

Data for Ce2Er3Ru4 after structural relaxation.

Computed properties:
As for the energy of formation: -333 meV/atom. As for the size of the total moment: 0.00 μB per cell. The space-group type is C2/c (15). Its total energy is -7.295 eV/atom. The calculation puts the excess energy over the best structure of this formula in the dataset at 0.000 eV per atom.

Cell lengths 8.688, 8.688, 5.863 Å; angles 100.25, 100.25, 70.33 degrees
Sites, in units of the cell vectors:
1 Ce 0.085 0.290 0.462
2 Ce 0.290 0.085 0.962
3 Ce 0.710 0.915 0.038
4 Ce 0.915 0.710 0.538
5 Er 0.130 0.870 0.250
6 Er 0.297 0.513 0.903
7 Er 0.487 0.703 0.597
8 Er 0.513 0.297 0.403
9 Er 0.703 0.487 0.097
10 Er 0.870 0.130 0.750
11 Ru 0.065 0.339 0.990
12 Ru 0.193 0.560 0.386
13 Ru 0.339 0.065 0.490
14 Ru 0.440 0.807 0.114
15 Ru 0.560 0.193 0.886
16 Ru 0.661 0.935 0.510
17 Ru 0.807 0.440 0.614
18 Ru 0.935 0.661 0.010

## NaTbBr4 (GGA-PBE)

Data for NaTbBr4 after structural relaxation.

Computed properties:
The energy relative to the elements, uncorrected comes out at -1.7648 eV per atom. As for the size of the total moment: 0.00 μB per cell. The space-group type is P2/m (10). Its total energy is -3.872 eV/atom.

Cell lengths 6.980, 4.219, 7.579 Å; angles 90.00, 91.53, 90.00 degrees
Sites, in units of the cell vectors:
1 Na 0.000 0.000 0.000
2 Tb 0.000 0.500 0.500
3 Br 0.214 0.500 0.196
4 Br 0.232 0.000 0.648
5 Br 0.768 0.000 0.352
6 Br 0.786 0.500 0.804

## VP2PbS (GGA-PBE)

Data for VP2PbS after structural relaxation.

Computed properties:
The energy relative to the elements, uncorrected comes out at 0.0888 eV per atom. As for the size of the total moment: 0.00 μB per cell. The space-group type is P4/mmm (123). Its total energy is -5.466 eV/atom. The calculation puts the excess energy over the best structure of this formula in the dataset at 0.000 eV per atom.

Cell lengths 4.745, 4.745, 5.053 Å; angles 90.00, 90.00, 90.00 degrees
Sites, in units of the cell vectors:
1 V 0.000 0.000 0.000
2 P 0.000 0.500 0.000
3 P 0.500 0.000 0.000
4 Pb 0.500 0.500 0.500
5 S 0.000 0.000 0.500

## KTlZnHg2 (GGA-PBE)

Data for KTlZnHg2 after structural relaxation.

Computed properties:
As for the energy of formation: -44 meV/atom. As for the size of the total moment: 0.00 μB per cell. The space-group type is P4/mmm (123). Its total energy is -1.112 eV/atom.

Cell lengths 5.425, 5.425, 5.381 Å; angles 90.00, 90.00, 90.00 degrees
Sites, in units of the cell vectors:
1 K 0.000 0.000 0.000
2 Tl 0.500 0.500 0.000
3 Zn 0.500 0.500 0.500
4 Hg 0.000 0.500 0.500
5 Hg 0.500 0.000 0.500

## CsHg5 (GGA-PBE)

Data for CsHg5 after structural relaxation.

Computed properties:
As for the energy of formation: -186 meV/atom. As for the size of the total moment: 0.00 μB per cell. The space-group type is P-62m (189). Its total energy is -0.580 eV/atom. The calculation puts the excess energy over the best structure of this formula in the dataset at 0.000 eV per atom.

Cell lengths 6.582, 6.582, 5.449 Å; angles 90.00, 90.00, 120.00 degrees
Sites, in units of the cell vectors:
1 Cs 0.000 0.000 0.000
2 Hg 0.000 0.501 0.500
3 Hg 0.333 0.667 0.000
4 Hg 0.499 0.499 0.500
5 Hg 0.501 0.000 0.500
6 Hg 0.667 0.333 0.000

## NdMgAlZn2 (GGA-PBE)

Data for NdMgAlZn2 after structural relaxation.

Computed properties:
As for the energy of formation: -327 meV/atom. As for the size of the total moment: 0.00 μB per cell. The space-group type is I-4m2 (119). Its total energy is -2.857 eV/atom.

Cell lengths 6.358, 6.358, 6.358 Å; angles 140.35, 140.35, 57.33 degrees
Sites, in units of the cell vectors:
1 Nd 0.000 0.000 0.000
2 Mg 0.750 0.250 0.500
3 Al 0.250 0.750 0.500
4 Zn 0.390 0.390 0.000
5 Zn 0.610 0.610 0.000